DFT (PBE+U) results for FeTcO2F after structural relaxation.

Summary:
V: 61.7 Å³ per cell
magnetization: 10.0 μB/cell
E: -6.222 eV/atom
SG: P4/mmm

a b c (Å): 3.9654 3.9654 3.9265
angles (deg): 90.00 90.00 90.00
With the nearest neighbours (Å) after each atom.
Atoms (fractional coordinates):
Fe 0.0000 0.0000 0.0000  2 F 1.96, 4 O 1.98
O 0.5000 0.0000 0.0000  2 Fe 1.98
O 0.0000 0.5000 0.0000  2 Fe 1.98
F 0.0000 0.0000 0.5000  2 Fe 1.96
Tc 0.5000 0.5000 0.5000  8 O 2.79, 4 F 2.80